CuNi2 | SCAN | PBEsol geometry

Total magnetic moment = 1.34 Bohr magnetons per cell
V = 32 Å³ per cell
Energy relative to the elements = 0.04 eV/atom

```
3
Lattice="-1.136 -1.921 -1.039 1.316 -0.313 2.056 -4.939 1.117 3.332" Properties=species:S:1:pos:R:3 pbc="T T T"
Cu 0.000 0.000 0.000
Ni -1.165 -0.473 2.147
Ni -3.593 -0.644 2.202
```